DFT (GGA-PBE) results for a relaxed Er5HgAu2 crystal.

Values from the calculation:
Symmetry = No. 63
Electronic total energy = -3.964 eV per atom
Calculated formation energy = -255 meV per atom
Spin magnetization = 0.00 μB per formula unit

```
Er5HgAu2
1.0
2.668 -7.163 0.000
2.668 7.163 0.000
0.000 0.000 12.254
Er Hg Au
10 2 4
Cartesian
2.668 6.695 7.598
2.668 6.695 10.783
2.668 4.229 3.064
2.668 1.656 7.095
2.668 1.656 11.286
2.668 -1.656 0.968
2.668 -1.656 5.159
2.668 -4.229 9.191
2.668 -6.695 1.471
2.668 -6.695 4.656
2.668 4.143 9.191
2.668 -4.143 3.064
2.668 4.402 0.209
2.668 4.402 5.918
2.668 -4.402 6.336
2.668 -4.402 12.045
```